(1)
DFT (GGA-PBE) results for crystalline SmPuSn at its relaxed geometry.

Unit cell a=4.0990 b=4.0990 c=10.0272 alpha=90.00 beta=90.00 gamma=90.00
Space group I4mm (No. 107)
Asymmetric unit:
Sm 0.0000 0.0000 0.0000 [2 per cell]
Pu 0.0000 0.0000 0.3090 [2 per cell]
Sn 0.0000 0.0000 0.6511 [2 per cell]

Computed properties:
**Offset from the most stable computed form**: 0.54 eV per formula unit
**E_form**: -0.2901 eV/atom
**Theoretical density**: 10.1 g cm⁻³

---

(2)
DFT (GGA-PBE) results for crystalline TiH2IrRu at its relaxed geometry.

Unit cell a=3.5746 b=3.5746 c=5.0199 alpha=90.00 beta=90.00 gamma=90.00
Space group P4/mmm (No. 123)
Asymmetric unit:
Ti 0.0000 0.0000 0.0000 [1 per cell]
H 0.0000 0.5000 0.0000 [2 per cell]
Ir 0.0000 0.0000 0.5000 [1 per cell]
Ru 0.5000 0.5000 0.5000 [1 per cell]

Computed properties:
**Offset from the most stable computed form**: 1.23 eV per formula unit
**Theoretical density**: 8.9 g cm⁻³

---

(3)
DFT (GGA-PBE) results for crystalline Ac2TaMoN5 at its relaxed geometry.

Unit cell a=3.4761 b=14.4357 c=10.8376 alpha=90.00 beta=90.00 gamma=90.00
Space group Cmc2_1 (No. 36)
Asymmetric unit:
Ac 0.0000 0.1148 0.0000 [4 per cell]
Ac 0.0000 0.1409 0.6237 [4 per cell]
Ta 0.0000 0.2124 0.3334 [4 per cell]
Mo 0.0000 0.4532 0.7754 [4 per cell]
N 0.0000 0.0529 0.3586 [4 per cell]
N 0.0000 0.2886 0.9621 [4 per cell]
N 0.0000 0.3175 0.7078 [4 per cell]
N 0.0000 0.3477 0.3206 [4 per cell]
N 0.0000 0.4987 0.1165 [4 per cell]

Computed properties:
**Formation energy from raw total energies**: -968.3 meV per atom
**Theoretical density**: 9.8 g cm⁻³

---

(4)
DFT (GGA-PBE) results for crystalline TlSIN2 at its relaxed geometry.

Unit cell a=4.1789 b=4.1789 c=7.5765 alpha=90.00 beta=90.00 gamma=90.00
Space group P4/mmm (No. 123)
Asymmetric unit:
Tl 0.0000 0.0000 0.0000 [1 per cell]
S 0.5000 0.5000 0.5000 [1 per cell]
I 0.5000 0.5000 0.0000 [1 per cell]
N 0.0000 0.5000 0.5000 [2 per cell]

Computed properties:
**Formation energy from raw total energies**: 1699.6 meV per atom
**Offset from the most stable computed form**: 0.60 eV per formula unit
**Theoretical density**: 4.9 g cm⁻³